The following is a DFT calculation (GGA-PBE) of a relaxed structure of AlTlPt2. Values from VASP.

The formation energy is -0.2 eV per formula unit. Its energy above the most stable polymorph in this dataset is 483 meV per atom. As for the symmetry: F-43m, No. 216. The density of states at the Fermi level is 2.9 states/eV per cell. As for the magnetization: 0.00 μB/f.u.

```
&SYSTEM
  ibrav = 0, nat = 4, ntyp = 3
/
ATOMIC_SPECIES
Tl 204.38 Tl.upf
Al 26.98 Al.upf
Pt 195.08 Pt.upf
CELL_PARAMETERS angstrom
-0.542 -4.576 0.363
3.342 -2.845 -1.449
2.496 -2.386 3.072
ATOMIC_POSITIONS crystal
Tl 0.750 0.750 0.750
Al 0.500 0.500 0.500
Pt 0.000 0.000 0.000
Pt 0.250 0.250 0.250
```